(1)
Density functional theory data (GGA-PBE) for a relaxed structure of Ac5DyPb5.

```
Ac5DyPb5
1.0
8.6810 -3.2669 0.0000
8.6810 3.2669 0.0000
-2.2427 0.0000 7.6028
Ac Dy Pb
5 1 5
Cartesian
0.0000 0.0000 0.0000
5.0291 0.0000 1.6173
4.4463 0.0000 5.5010
10.6730 0.0000 2.1018
10.0902 0.0000 5.9856
-1.1213 0.0000 3.8014
0.8737 0.0000 6.4685
1.9045 0.0000 3.1243
7.5596 0.0000 3.8014
13.2148 0.0000 4.4785
14.2456 0.0000 1.1343
```

Computed properties:
Electronic total energy, eV/atom: -4.310
Symmetry: C2/m



(2)
Density functional theory data (GGA-PBE) for a relaxed structure of PuNpFePt.

```
PuNpFePt
1.0
6.8426 0.0000 0.0000
0.0000 6.8426 0.0000
0.0000 0.0000 6.8426
Pu Np Fe Pt
4 4 4 4
Cartesian
0.0000 0.0000 0.0000
0.0000 3.4213 3.4213
3.4213 0.0000 3.4213
3.4213 3.4213 0.0000
0.0000 0.0000 3.4213
0.0000 3.4213 0.0000
3.4213 0.0000 0.0000
3.4213 3.4213 3.4213
1.7106 1.7106 1.7106
1.7106 5.1319 5.1319
5.1319 1.7106 5.1319
5.1319 5.1319 1.7106
1.7106 1.7106 5.1319
1.7106 5.1319 1.7106
5.1319 1.7106 1.7106
5.1319 5.1319 5.1319
```

Computed properties:
Electronic total energy, eV/atom: -10.571
Symmetry: F-43m



Number 1: V 431 Å³/cell, ΔH_f (0 K) -3.72 eV per formula unit. Number 2: V 320 Å³/cell, ΔH_f (0 K) -0.51 eV per formula unit.